Entry 1:
Material: LaCoRe2
Method: DFT, PBE
State: relaxed

Values from the calculation:
M_tot   0.165 μB/atom
Crystal system   tetragonal
Space-group type   No. 123
E above lowest polymorph   326 meV per atom
Density   14.05 Mg/m³
ΔH_f (0 K)   1.97 eV per formula unit

```
LaCoRe2
1.0
2.7628 -0.0008 0.0000
0.0008 2.7628 0.0000
0.0000 0.0000 8.8321
La Re Co
1 2 1
direct
0.5000 0.5000 0.7500
0.0000 0.0000 0.0552
0.0000 0.0000 0.4448
0.5000 0.5000 0.2500
```

***

Entry 2:
Material: PtRhBr
Method: DFT, PBE
State: relaxed

Values from the calculation:
Formation energy (no corrections)   361 meV/atom
M_tot   0.000 μB/atom
Crystal system   trigonal
Space-group type   No. 156
E above lowest polymorph   0 meV per atom
Density   10.54 Mg/m³

```
PtRhBr
1.0
3.6635 0.0000 0.0000
-1.8317 3.1727 0.0000
0.0000 0.0000 5.1220
Br Pt Rh
1 1 1
direct
0.0000 0.0000 0.9410
0.6667 0.3333 0.3901
0.3333 0.6667 0.6689
```

***

Entry 3:
Material: RbAsBr4
Method: DFT, PBE
State: relaxed

Values from the calculation:
Formation energy (no corrections)   -868 meV/atom
M_tot   0.000 μB/atom
Crystal system   orthorhombic
Space-group type   No. 63
E above lowest polymorph   0 meV per atom
Density   3.53 Mg/m³

```
RbAsBr4
1.0
-4.3543 2.1107 2.2995
-4.4700 -4.9276 -3.9413
2.9703 -8.2804 6.9839
Rb As Br
2 2 8
direct
0.5821 0.2500 0.1641
0.4179 0.7500 0.8359
0.1024 0.7500 0.2049
0.8976 0.2500 0.7951
0.0000 0.0000 0.0000
0.5852 0.7500 0.1703
0.4148 0.2500 0.8297
0.8231 0.0123 0.6462
0.1769 0.9877 0.3538
0.1769 0.5123 0.3538
0.0000 0.5000 0.0000
0.8231 0.4877 0.6462
```

***

Entry 4:
Material: TbCuPd3
Method: DFT, PBE
State: relaxed

Values from the calculation:
M_tot   0.000 μB/atom
Crystal system   orthorhombic
Space-group type   No. 59
E above lowest polymorph   0 meV per atom
Density   10.17 Mg/m³
ΔH_f (0 K)   -2.51 eV per formula unit

```
TbCuPd3
1.0
-4.0405 0.4104 1.7942
-0.2548 -6.1333 0.8292
2.6539 0.6769 5.8216
Tb Pd Cu
2 6 2
direct
0.5000 0.0000 0.2235
0.0000 0.5000 0.7765
0.0000 0.0000 0.9410
0.0000 0.7104 0.2832
0.0000 0.2896 0.2832
0.5000 0.7896 0.7168
0.5000 0.5000 0.0590
0.5000 0.2104 0.7168
0.5000 0.5000 0.4392
0.0000 0.0000 0.5608
```

***

Q: Which of these has the highest density?
A: LaCoRe2

***

Copy entry 3 word for word.
Material: RbAsBr4
Method: DFT, PBE
State: relaxed

Values from the calculation:
Formation energy (no corrections)   -868 meV/atom
M_tot   0.000 μB/atom
Crystal system   orthorhombic
Space-group type   No. 63
E above lowest polymorph   0 meV per atom
Density   3.53 Mg/m³

```
RbAsBr4
1.0
-4.3543 2.1107 2.2995
-4.4700 -4.9276 -3.9413
2.9703 -8.2804 6.9839
Rb As Br
2 2 8
direct
0.5821 0.2500 0.1641
0.4179 0.7500 0.8359
0.1024 0.7500 0.2049
0.8976 0.2500 0.7951
0.0000 0.0000 0.0000
0.5852 0.7500 0.1703
0.4148 0.2500 0.8297
0.8231 0.0123 0.6462
0.1769 0.9877 0.3538
0.1769 0.5123 0.3538
0.0000 0.5000 0.0000
0.8231 0.4877 0.6462
```

***

Q: Which formula does entry 2 have?
A: PtRhBr